(1)
A plane-wave DFT calculation with PBE was carried out for a relaxed structure of TbCeAu.

Raw total energy   -4.328 eV per atom
ΔE_f   0.286 eV/atom
Magnetic moment   0.41 μB/atom
V   175.8 Å³/cell
E above lowest polymorph   695 meV per atom

The structure in CIF format:
```
data_TbCeAu
_cell_length_a 3.249
_cell_length_b 3.249
_cell_length_c 16.656
_cell_angle_alpha 90.00
_cell_angle_beta 90.00
_cell_angle_gamma 90.00
_symmetry_space_group_name_H-M 'I 4 m m'
_symmetry_Int_Tables_number 107
_symmetry_space_group_name_Hall 'I 4 -2'
loop_
_atom_site_label
_atom_site_type_symbol
_atom_site_fract_x
_atom_site_fract_y
_atom_site_fract_z
_atom_site_occupancy
Tb1 Tb 0.000 0.000 0.000 1
Ce1 Ce 0.000 0.000 0.343 1
Au1 Au 0.000 0.000 0.170 1
```



(2)
A plane-wave DFT calculation with PBE was carried out for a relaxed structure of Tb5CeAu6.

Raw total energy   -4.863 eV per atom
ΔE_f   -0.800 eV/atom
Magnetic moment   0.08 μB/atom
V   287.7 Å³/cell

The structure in CIF format:
```
data_Tb5CeAu6
_cell_length_a 5.142
_cell_length_b 7.221
_cell_length_c 8.158
_cell_angle_alpha 90.00
_cell_angle_beta 108.23
_cell_angle_gamma 90.00
_symmetry_space_group_name_H-M 'P 1 2/m 1'
_symmetry_Int_Tables_number 10
loop_
_symmetry_equiv_pos_as_xyz
'x,y,z'
'-x,-y,-z'
'-x,y,-z'
'x,-y,z'
loop_
_atom_site_label
_atom_site_type_symbol
_atom_site_fract_x
_atom_site_fract_y
_atom_site_fract_z
_atom_site_occupancy
Tb1 Tb 0.000 0.000 0.000 1
Tb2 Tb 0.332 0.500 0.665 1
Tb3 Tb 0.334 0.000 0.669 1
Ce1 Ce 0.000 0.500 0.000 1
Au1 Au 0.172 0.247 0.341 1
Au2 Au 0.500 0.242 0.000 1
```



(3)
A plane-wave DFT calculation with PBE was carried out for a relaxed structure of Ce4Tc2Au.

Raw total energy   -7.050 eV per atom
ΔE_f   -0.229 eV/atom
Magnetic moment   0.00 μB/atom
V   1366.9 Å³/cell

The structure in CIF format:
```
data_Ce4Tc2Au
_cell_length_a 12.290
_cell_length_b 12.919
_cell_length_c 8.609
_cell_angle_alpha 90.00
_cell_angle_beta 90.00
_cell_angle_gamma 90.00
_symmetry_space_group_name_H-M 'F d d 2'
_symmetry_Int_Tables_number 43
_symmetry_space_group_name_Hall 'F 2 -2d'
loop_
_atom_site_label
_atom_site_type_symbol
_atom_site_fract_x
_atom_site_fract_y
_atom_site_fract_z
_atom_site_occupancy
Ce1 Ce 0.071 0.109 0.000 1
Ce2 Ce 0.122 0.199 0.590 1
Tc1 Tc 0.059 0.216 0.324 1
Au1 Au 0.000 0.000 0.655 1
```



(4)
A plane-wave DFT calculation with PBE was carried out for a relaxed structure of Ce3TcAu.

Raw total energy   -6.525 eV per atom
ΔE_f   -0.236 eV/atom
Magnetic moment   0.18 μB/atom
V   481.2 Å³/cell

The structure in CIF format:
```
data_Ce3TcAu
_cell_length_a 11.884
_cell_length_b 4.254
_cell_length_c 9.792
_cell_angle_alpha 90.00
_cell_angle_beta 103.53
_cell_angle_gamma 90.00
_symmetry_space_group_name_H-M 'C 1 2/m 1'
_symmetry_Int_Tables_number 12
loop_
_symmetry_equiv_pos_as_xyz
'x,y,z'
'-x,-y,-z'
'-x,y,-z'
'x,-y,z'
'x+1/2,y+1/2,z'
'-x+1/2,-y+1/2,-z'
'-x+1/2,y+1/2,-z'
'x+1/2,-y+1/2,z'
loop_
_atom_site_label
_atom_site_type_symbol
_atom_site_fract_x
_atom_site_fract_y
_atom_site_fract_z
_atom_site_occupancy
Ce1 Ce 0.060 0.000 0.347 1
Ce2 Ce 0.125 0.500 0.917 1
Ce3 Ce 0.202 0.500 0.280 1
Tc1 Tc 0.110 0.000 0.069 1
Au1 Au 0.123 0.500 0.585 1
```



(5)
A plane-wave DFT calculation with PBE was carried out for a relaxed structure of Ce5TcAu2.

Raw total energy   -6.167 eV per atom
ΔE_f   -0.343 eV/atom
Magnetic moment   0.50 μB/atom
V   410.7 Å³/cell

The structure in CIF format:
```
data_Ce5TcAu2
_cell_length_a 7.613
_cell_length_b 11.656
_cell_length_c 4.628
_cell_angle_alpha 90.00
_cell_angle_beta 90.00
_cell_angle_gamma 90.00
_symmetry_space_group_name_H-M 'P b a m'
_symmetry_Int_Tables_number 55
loop_
_symmetry_equiv_pos_as_xyz
'x,y,z'
'-x,-y,-z'
'-x,-y,z'
'x,y,-z'
'x+1/2,-y+1/2,-z'
'-x+1/2,y+1/2,z'
'-x+1/2,y+1/2,-z'
'x+1/2,-y+1/2,z'
loop_
_atom_site_label
_atom_site_type_symbol
_atom_site_fract_x
_atom_site_fract_y
_atom_site_fract_z
_atom_site_occupancy
Ce1 Ce 0.000 0.000 0.000 1
Ce2 Ce 0.128 0.289 0.000 1
Ce3 Ce 0.208 0.559 0.500 1
Tc1 Tc 0.000 0.500 0.000 1
Au1 Au 0.098 0.819 0.500 1
```



(6)
A plane-wave DFT calculation with PBE was carried out for a relaxed structure of Ce7Tc2Au2.

Raw total energy   -6.483 eV per atom
ΔE_f   -0.226 eV/atom
Magnetic moment   0.33 μB/atom
V   564.6 Å³/cell

The structure in CIF format:
```
data_Ce7Tc2Au2
_cell_length_a 3.832
_cell_length_b 15.063
_cell_length_c 9.783
_cell_angle_alpha 90.00
_cell_angle_beta 90.00
_cell_angle_gamma 90.00
_symmetry_space_group_name_H-M 'I m m 2'
_symmetry_Int_Tables_number 44
loop_
_symmetry_equiv_pos_as_xyz
'x,y,z'
'-x,-y,z'
'-x,y,z'
'x,-y,z'
'x+1/2,y+1/2,z+1/2'
'-x+1/2,-y+1/2,z+1/2'
'-x+1/2,y+1/2,z+1/2'
'x+1/2,-y+1/2,z+1/2'
loop_
_atom_site_label
_atom_site_type_symbol
_atom_site_fract_x
_atom_site_fract_y
_atom_site_fract_z
_atom_site_occupancy
Ce1 Ce 0.000 0.000 0.000 1
Ce2 Ce 0.000 0.131 0.592 1
Ce3 Ce 0.000 0.307 0.365 1
Ce4 Ce 0.000 0.360 0.735 1
Tc1 Tc 0.000 0.217 0.059 1
Au1 Au 0.000 0.000 0.350 1
Au2 Au 0.000 0.500 0.246 1
```